Record 1
Sc6CoHg: relaxed, PBE.

Results
D(E_F) (states/eV per atom): 1.3736
Formation energy (meV/atom): 22
V (Å³ per cell): 198.58
VASP energy (eV/cell): -45.22
Density (g/cm³): 4.43
Space-group type: P-1

The structure in POSCAR format:
```
Sc6CoHg
1.0
-0.234 -4.756 -4.074
-2.673 -5.425 1.663
-6.110 -1.455 -2.761
Sc Co Hg
6 1 1
direct
0.033 0.415 0.761
0.790 0.032 0.761
0.585 0.209 0.239
0.210 0.968 0.239
0.967 0.585 0.239
0.415 0.791 0.761
0.000 0.000 0.000
0.500 0.500 0.500
```

Record 2
Ce3Zn8Cd: relaxed, PBE.

Results
D(E_F) (states/eV per atom): 1.5275
Formation energy (meV/atom): -209
V (Å³ per cell): 232.86
VASP energy (eV/cell): -31.41
Density (g/cm³): 7.53
Space-group type: R3m

The structure in POSCAR format:
```
Ce3Zn8Cd
1.0
5.488 0.000 0.000
2.744 4.753 0.000
2.744 1.584 8.928
Ce Zn Cd
3 8 1
direct
0.375 0.375 0.875
0.000 0.000 0.999
0.500 0.500 0.499
0.935 0.439 0.187
0.438 0.938 0.687
0.439 0.439 0.187
0.938 0.938 0.687
0.187 0.187 0.440
0.688 0.688 0.935
0.439 0.935 0.187
0.938 0.438 0.687
0.873 0.873 0.380
```

Record 3
CsK2NpF6: relaxed, PBE.

Results
D(E_F) (states/eV per atom): 0.5032
V (Å³ per cell): 454.15
VASP energy (eV/cell): -115.27
Density (g/cm³): 4.11
Space-group type: P2_1/c

The structure in POSCAR format:
```
CsK2NpF6
1.0
-6.442 0.656 -1.671
1.148 -3.733 -5.889
-2.231 -8.088 4.691
Cs K Np F
2 4 2 12
direct
0.500 0.000 0.000
0.000 0.500 0.500
0.002 0.970 0.279
0.502 0.530 0.779
0.998 0.030 0.721
0.498 0.470 0.221
0.500 0.000 0.500
0.000 0.500 0.000
0.302 0.647 0.023
0.802 0.853 0.523
0.698 0.353 0.977
0.198 0.147 0.477
0.354 0.752 0.382
0.854 0.748 0.882
0.646 0.248 0.618
0.146 0.252 0.118
0.872 0.626 0.205
0.372 0.874 0.705
0.128 0.374 0.795
0.628 0.126 0.295
```

Record 4
Sr2ScHg: relaxed, PBE.

Results
D(E_F) (states/eV per atom): 1.2961
Energy relative to the lowest polymorph listed for this composition (meV/atom): 195
Formation energy (meV/atom): 66
V (Å³ per cell): 135.72
VASP energy (eV/cell): -9.73
Density (g/cm³): 5.15
Space-group type: Immm

The structure in POSCAR format:
```
Sr2ScHg
1.0
6.800 0.082 -0.071
5.452 4.065 -0.071
2.281 0.772 4.964
Hg Sc Sr
1 1 2
direct
0.750 0.750 0.750
0.250 0.250 0.250
0.039 0.039 0.961
0.461 0.461 0.539
```